# EuTmMgPb

An optimized crystal structure of EuTmMgPb (PBE, Alexandria via LeMat-Bulk).

Values from the calculation:
- Formation energy: -1.1 eV per formula unit
- Calculated density: 7.96 Mg/m³
- DFT total energy: -21.146 eV per formula unit

Cell: 5.462 5.462 5.462 Å, 60.00 60.00 60.00°
Element x y z (fractional)
1 Eu 0.000 0.000 0.000
2 Tm 0.500 0.500 0.500
3 Mg 0.250 0.250 0.250
4 Pb 0.750 0.750 0.750